(1)
# RbBiC3 | Alexandria | PBE-GGA | relaxed
# E = -2.551 eV/atom
# density = 5659 kg/m3
# volume = 19.4 A^3/atom
# DFT formation energy = 3.95 eV per atom
data_RbBiC3
_chemical_formula_sum 'Rb1 Bi1 C3'
_cell_length_a 4.594
_cell_length_b 4.594
_cell_length_c 4.594
_cell_angle_alpha 90.00
_cell_angle_beta 90.00
_cell_angle_gamma 90.00
_space_group_name_H-M_alt 'P m -3 m'
_space_group_IT_number 221
_space_group_name_Hall '-P 4 2 3'
loop_
_atom_site_label
_atom_site_type_symbol
_atom_site_fract_x
_atom_site_fract_y
_atom_site_fract_z
_atom_site_occupancy
Rb1 Rb 0.000 0.000 0.000 1
Bi1 Bi 0.500 0.500 0.500 1
C1 C 0.000 0.000 0.500 1

(2)
# Li2La2In | Alexandria | PBE-GGA | relaxed
# E = -3.360 eV/atom
# density = 4709 kg/m3
# volume = 28.7 A^3/atom
# DFT formation energy = -0.08 eV per atom
data_Li2La2In
_chemical_formula_sum 'Li4 La4 In2'
_cell_length_a 3.709
_cell_length_b 3.709
_cell_length_c 20.837
_cell_angle_alpha 90.00
_cell_angle_beta 90.00
_cell_angle_gamma 90.00
_space_group_name_H-M_alt 'I 4/m m m'
_space_group_IT_number 139
_space_group_name_Hall '-I 4 2'
loop_
_atom_site_label
_atom_site_type_symbol
_atom_site_fract_x
_atom_site_fract_y
_atom_site_fract_z
_atom_site_occupancy
Li1 Li 0.000 0.500 0.250 1
La1 La 0.000 0.000 0.102 1
In1 In 0.000 0.000 0.500 1

(3)
# Zr2PbBr | Alexandria | PBE-GGA | relaxed
# E = -5.971 eV/atom
# E_form (uncorrected) = -0.352 eV/atom
# density = 7064 kg/m3
# volume = 27.6 A^3/atom
data_Zr2PbBr
_chemical_formula_sum 'Zr4 Pb2 Br2'
_cell_length_a 4.114
_cell_length_b 5.040
_cell_length_c 10.646
_cell_angle_alpha 90.00
_cell_angle_beta 90.00
_cell_angle_gamma 90.00
_space_group_name_H-M_alt 'C m m 2'
_space_group_IT_number 35
loop_
_space_group_symop_operation_xyz
'x,y,z'
'-x,-y,z'
'-x,y,z'
'x,-y,z'
'x+1/2,y+1/2,z'
'-x+1/2,-y+1/2,z'
'-x+1/2,y+1/2,z'
'x+1/2,-y+1/2,z'
loop_
_atom_site_label
_atom_site_type_symbol
_atom_site_fract_x
_atom_site_fract_y
_atom_site_fract_z
_atom_site_occupancy
Zr1 Zr 0.000 0.000 0.000 1
Zr2 Zr 0.000 0.500 0.211 1
Pb1 Pb 0.000 0.500 0.757 1
Br1 Br 0.000 0.000 0.389 1

(4)
# Ba2BeGe | Alexandria | PBE-GGA | relaxed
# E = -2.973 eV/atom
# density = 4559 kg/m3
# volume = 32.4 A^3/atom
# DFT formation energy = 0.07 eV per atom
data_Ba2BeGe
_chemical_formula_sum 'Ba8 Be4 Ge4'
_cell_length_a 8.037
_cell_length_b 8.037
_cell_length_c 8.037
_cell_angle_alpha 90.00
_cell_angle_beta 90.00
_cell_angle_gamma 90.00
_space_group_name_H-M_alt 'F m -3 m'
_space_group_IT_number 225
_space_group_name_Hall '-F 4 2 3'
loop_
_atom_site_label
_atom_site_type_symbol
_atom_site_fract_x
_atom_site_fract_y
_atom_site_fract_z
_atom_site_occupancy
Ba1 Ba 0.250 0.250 0.250 1
Be1 Be 0.000 0.000 0.000 1
Ge1 Ge 0.000 0.000 0.500 1

(5)
# PaSi2RhO8 | Alexandria | PBE-GGA | relaxed
# E = -7.907 eV/atom
# E_form (uncorrected) = -2.294 eV/atom
# density = 5808 kg/m3
# volume = 12.3 A^3/atom
data_PaSi2RhO8
_chemical_formula_sum 'Pa2 Si4 Rh2 O16'
_cell_length_a 6.943
_cell_length_b 6.943
_cell_length_c 6.147
_cell_angle_alpha 90.00
_cell_angle_beta 90.00
_cell_angle_gamma 90.00
_space_group_name_H-M_alt 'I -4 m 2'
_space_group_IT_number 119
_space_group_name_Hall 'I -4 -2'
loop_
_atom_site_label
_atom_site_type_symbol
_atom_site_fract_x
_atom_site_fract_y
_atom_site_fract_z
_atom_site_occupancy
Pa1 Pa 0.000 0.000 0.000 1
Si1 Si 0.000 0.000 0.500 1
Si2 Si 0.000 0.500 0.750 1
Rh1 Rh 0.000 0.500 0.250 1
O1 O 0.000 0.177 0.322 1
O2 O 0.000 0.319 0.923 1

(6)
# LaPr6Dy2Er | Alexandria | PBE-GGA | relaxed
# E = -4.625 eV/atom
# density = 6972 kg/m3
# volume = 35.2 A^3/atom
# DFT formation energy = 0.11 eV per atom
data_LaPr6Dy2Er
_chemical_formula_sum 'La4 Pr24 Dy8 Er4'
_cell_length_a 9.415
_cell_length_b 15.373
_cell_length_c 9.795
_cell_angle_alpha 90.00
_cell_angle_beta 97.15
_cell_angle_gamma 90.00
_space_group_name_H-M_alt 'C 1 2/c 1'
_space_group_IT_number 15
loop_
_space_group_symop_operation_xyz
'x,y,z'
'-x,-y,-z'
'-x,y,-z+1/2'
'x,-y,z+1/2'
'x+1/2,y+1/2,z'
'-x+1/2,-y+1/2,-z'
'-x+1/2,y+1/2,-z+1/2'
'x+1/2,-y+1/2,z+1/2'
loop_
_atom_site_label
_atom_site_type_symbol
_atom_site_fract_x
_atom_site_fract_y
_atom_site_fract_z
_atom_site_occupancy
La1 La 0.000 0.029 0.250 1
Pr1 Pr 0.064 0.179 0.945 1
Pr2 Pr 0.096 0.392 0.117 1
Pr3 Pr 0.216 0.223 0.314 1
Dy1 Dy 0.250 0.049 0.549 1
Er1 Er 0.000 0.411 0.750 1